Record 1
The following is a DFT calculation (PBE) of an optimized crystal structure of Tb12Y2Sc.

The structure in extended XYZ format:
```
30
Lattice="3.493 -5.659 0.000 3.493 5.659 0.000 -2.968 0.000 24.220" Properties=species:S:1:pos:R:3 pbc="T T T"
Tb -0.019 3.189 16.875
Tb -0.356 2.729 20.044
Tb 2.619 2.952 1.359
Tb -0.816 0.000 15.856
Tb 0.960 0.000 1.689
Tb 1.456 3.143 13.717
Tb 2.562 3.143 10.503
Tb 1.399 2.952 22.860
Tb -0.281 0.000 22.313
Tb 1.411 0.000 9.365
Tb 4.038 3.189 7.345
Tb 4.374 2.729 4.176
Tb -0.356 -2.729 20.044
Tb -0.019 -3.189 16.875
Tb 2.607 0.000 14.855
Tb 4.300 0.000 1.907
Tb 2.619 -2.952 1.359
Tb 1.456 -3.143 13.717
Tb 2.562 -3.143 10.503
Tb 3.059 0.000 22.530
Tb 4.835 0.000 8.363
Tb 1.399 -2.952 22.860
Tb 4.374 -2.729 4.176
Tb 4.038 -3.189 7.345
Y -2.149 0.000 19.124
Y 2.581 0.000 5.567
Y 1.438 0.000 18.652
Y 6.168 0.000 5.096
Sc 0.192 0.000 12.516
Sc 3.827 0.000 11.703
```

Calculated values
SG: C2/m
Energy relative to the elements, eV/atom: 0.119
Total magnetization, μB/f.u.: 0.004
Crystal system: monoclinic


Record 2
The following is a DFT calculation (PBE) of an optimized crystal structure of Na2LaI5.

The structure in extended XYZ format:
```
32
Lattice="14.794 0.000 0.000 0.000 9.538 0.000 0.000 0.000 9.400" Properties=species:S:1:pos:R:3 pbc="T T T"
Na 3.262 0.259 1.008
Na 3.262 4.510 1.008
Na 4.135 5.028 5.708
Na 4.135 9.280 5.708
Na 10.658 0.259 3.692
Na 10.658 4.510 3.692
Na 11.532 5.028 8.392
Na 11.532 9.280 8.392
La 0.271 2.385 4.023
La 7.126 7.154 8.723
La 7.668 2.385 0.677
La 14.523 7.154 5.377
I 0.921 2.385 0.884
I 1.057 0.359 6.456
I 1.057 4.410 6.456
I 2.580 7.154 3.674
I 3.591 2.385 3.865
I 3.806 7.154 8.565
I 4.817 2.385 8.374
I 6.340 5.129 1.756
I 6.340 9.179 1.756
I 6.476 7.154 5.584
I 8.318 2.385 3.816
I 8.454 0.359 7.644
I 8.454 4.410 7.644
I 9.976 7.154 1.026
I 10.987 2.385 0.835
I 11.203 7.154 5.535
I 12.214 2.385 5.725
I 13.737 5.129 2.944
I 13.737 9.179 2.944
I 13.873 7.154 8.516
```

Calculated values
Formation energy (no corrections), eV per atom: -1.3537
SG: Pnma
Total magnetization, μB/f.u.: 0.000
Crystal system: orthorhombic


Record 3
The following is a DFT calculation (PBE) of an optimized crystal structure of Cd2InI2.

The structure in extended XYZ format:
```
10
Lattice="6.371 0.000 0.000 0.000 6.371 0.000 0.000 0.000 8.894" Properties=species:S:1:pos:R:3 pbc="T T T"
Cd 0.000 0.000 1.372
Cd 0.000 0.000 7.522
Cd 3.185 3.185 3.075
Cd 3.185 3.185 5.819
In 0.000 0.000 4.447
In 3.185 3.185 0.000
I 0.000 3.185 2.223
I 0.000 3.185 6.670
I 3.185 0.000 2.223
I 3.185 0.000 6.670
```

Calculated values
Formation energy (no corrections), eV per atom: -0.1806
SG: I4/mmm
Energy above the lowest structure with this stoichiometry, eV/atom: 0.0000
Total magnetization, μB/f.u.: 0.000
Crystal system: tetragonal


- The highest total magnetization belongs to which entry?
  Tb12Y2Sc


- Which value of total magnetization does entry 3 give?
  0.000 μB/f.u.


- Number 2 is which compound?
  Na2LaI5


What did the third record say?
The following is a DFT calculation (PBE) of an optimized crystal structure of Cd2InI2.

The structure in extended XYZ format:
```
10
Lattice="6.371 0.000 0.000 0.000 6.371 0.000 0.000 0.000 8.894" Properties=species:S:1:pos:R:3 pbc="T T T"
Cd 0.000 0.000 1.372
Cd 0.000 0.000 7.522
Cd 3.185 3.185 3.075
Cd 3.185 3.185 5.819
In 0.000 0.000 4.447
In 3.185 3.185 0.000
I 0.000 3.185 2.223
I 0.000 3.185 6.670
I 3.185 0.000 2.223
I 3.185 0.000 6.670
```

Calculated values
Formation energy (no corrections), eV per atom: -0.1806
SG: I4/mmm
Energy above the lowest structure with this stoichiometry, eV/atom: 0.0000
Total magnetization, μB/f.u.: 0.000
Crystal system: tetragonal